The following is a DFT calculation (GGA+U) of an optimized crystal structure of Ac2FeAgO6.

DFT total energy: -67.4 eV per formula unit
Space group: P2_1/c
Crystal system: monoclinic

Lattice parameters (Å, degrees): 5.789 5.904 8.203 89.99 90.12 89.99
Last column: magnetic moment on the atom in μB.
Element x y z (fractional)
Ac (0.009, 0.953, 0.250)  0.01
Ac (0.509, 0.547, 0.750)  0.01
Ac (0.991, 0.047, 0.750)  0.01
Ac (0.491, 0.453, 0.250)  0.01
Fe (0.500, 0.000, 0.500)  4.07
Fe (0.000, 0.500, 0.000)  4.07
Ag (0.500, 0.000, 0.000)  -0.52
Ag (0.000, 0.500, 0.500)  -0.52
O (0.277, 0.696, 0.042)  -0.09
O (0.777, 0.804, 0.542)  -0.09
O (0.723, 0.304, 0.958)  -0.09
O (0.223, 0.196, 0.458)  -0.09
O (0.306, 0.723, 0.454)  -0.11
O (0.805, 0.777, 0.953)  -0.11
O (0.694, 0.277, 0.546)  -0.11
O (0.195, 0.223, 0.047)  -0.11
O (0.918, 0.524, 0.236)  -0.10
O (0.418, 0.976, 0.736)  -0.10
O (0.082, 0.476, 0.764)  -0.10
O (0.582, 0.024, 0.264)  -0.10